1.
Computed, not measured: an optimized crystal structure of Rb12Bi3F5 at the PBE level of DFT.

Unit cell a=16.3213 b=16.3213 c=16.3213 alpha=109.47 beta=109.47 gamma=109.47
With the nearest neighbours (Å) after each atom.
Fractional positions:
Rb 0.8178 0.9166 0.3027  2 F 2.74-3.01
F 0.5000 0.5000 0.5000  6 Rb 3.01
F 0.2500 0.3750 0.6250  4 Rb 2.74
Rb 0.1973 0.6822 0.0834  2 F 2.74-3.01
F 0.3750 0.2500 0.1250  4 Rb 2.74
Rb 0.9849 0.3861 0.3027  2 F 2.74-3.01
Rb 0.5988 0.6139 0.4166  2 F 2.74-3.01
Rb 0.5151 0.1973 0.1139  2 F 2.74-3.01
F 0.0000 0.0000 0.0000  6 Rb 3.01
Rb 0.3861 0.9849 0.8027  2 F 2.74-3.01
Rb 0.1139 0.6973 0.5151  2 F 2.74-3.01
Bi 0.8750 0.1250 0.2500  8 Rb 3.68-3.86
Bi 0.1250 0.2500 0.8750  8 Rb 3.68-3.86
Rb 0.3027 0.8861 0.9849  2 F 2.74-3.01
Rb 0.3027 0.4166 0.8178  2 F 2.74-3.01
Rb 0.6973 0.5834 0.1822  2 F 2.74-3.01
F 0.1250 0.3750 0.2500  4 Rb 2.74
Rb 0.5834 0.6973 0.6822  2 F 2.74-3.01
F 0.2500 0.8750 0.1250  4 Rb 2.74
Bi 0.3750 0.6250 0.2500  8 Rb 3.68-3.86
F 0.3750 0.1250 0.7500  4 Rb 2.74
Bi 0.8750 0.7500 0.1250  8 Rb 3.68-3.86
Rb 0.4166 0.3027 0.3178  2 F 2.74-3.01
F 0.1250 0.7500 0.3750  4 Rb 2.74
F 0.0000 0.0000 0.5000  6 Rb 3.01
F 0.5000 0.0000 0.0000  6 Rb 3.01
Rb 0.8861 0.5834 0.9012  2 F 2.74-3.01
Rb 0.9012 0.0834 0.8861  2 F 2.74-3.01
Bi 0.7500 0.8750 0.6250  8 Rb 3.68-3.86
F 0.6250 0.7500 0.8750  4 Rb 2.74
Rb 0.1822 0.0988 0.9849  2 F 2.74-3.01
F 0.8750 0.2500 0.6250  4 Rb 2.74
Rb 0.0151 0.6139 0.6973  2 F 2.74-3.01
Bi 0.6250 0.3750 0.7500  8 Rb 3.68-3.86
Bi 0.7500 0.3750 0.1250  8 Rb 3.68-3.86
Rb 0.3178 0.5151 0.4012  2 F 2.74-3.01
Bi 0.3750 0.7500 0.6250  8 Rb 3.68-3.86
Rb 0.6139 0.5988 0.9166  2 F 2.74-3.01
Rb 0.5988 0.9849 0.6822  2 F 2.74-3.01
Rb 0.3861 0.4012 0.0834  2 F 2.74-3.01
F 0.0000 0.5000 0.0000  6 Rb 3.01
Rb 0.0988 0.9166 0.1139  2 F 2.74-3.01
Rb 0.5834 0.8861 0.4012  2 F 2.74-3.01
Rb 0.8027 0.4849 0.3861  2 F 2.74-3.01
Rb 0.9012 0.8178 0.5151  2 F 2.74-3.01
F 0.0000 0.5000 0.5000  6 Rb 3.01
Rb 0.8178 0.9012 0.0151  2 F 2.74-3.01
F 0.7500 0.1250 0.8750  4 Rb 2.74
Rb 0.6139 0.0151 0.1973  2 F 2.74-3.01
Rb 0.8027 0.3178 0.9166  2 F 2.74-3.01
Rb 0.1822 0.0834 0.6973  2 F 2.74-3.01
F 0.6250 0.8750 0.2500  4 Rb 2.74
F 0.5000 0.0000 0.5000  6 Rb 3.01
Rb 0.4012 0.0151 0.3178  2 F 2.74-3.01
Rb 0.0834 0.1822 0.1973  2 F 2.74-3.01
Rb 0.6822 0.4849 0.5988  2 F 2.74-3.01
Rb 0.9849 0.5988 0.1822  2 F 2.74-3.01
Bi 0.6250 0.2500 0.3750  8 Rb 3.68-3.86
Bi 0.1250 0.8750 0.7500  8 Rb 3.68-3.86
Rb 0.0151 0.4012 0.8178  2 F 2.74-3.01
Bi 0.2500 0.6250 0.8750  8 Rb 3.68-3.86
Rb 0.9166 0.8178 0.8027  2 F 2.74-3.01
F 0.8750 0.6250 0.7500  4 Rb 2.74
Rb 0.4166 0.1139 0.5988  2 F 2.74-3.01
Rb 0.4012 0.3861 0.5834  2 F 2.74-3.01
Rb 0.4849 0.8027 0.8861  2 F 2.74-3.01
F 0.7500 0.6250 0.3750  4 Rb 2.74
Rb 0.6973 0.1139 0.0151  2 F 2.74-3.01
Rb 0.4849 0.6822 0.0988  2 F 2.74-3.01
Rb 0.0834 0.9012 0.3861  2 F 2.74-3.01
Rb 0.0988 0.1822 0.4849  2 F 2.74-3.01
Rb 0.6822 0.1973 0.5834  2 F 2.74-3.01
Rb 0.1139 0.4166 0.0988  2 F 2.74-3.01
Rb 0.9166 0.0988 0.6139  2 F 2.74-3.01
Bi 0.2500 0.1250 0.3750  8 Rb 3.68-3.86
Rb 0.5151 0.3178 0.9012  2 F 2.74-3.01
Rb 0.8861 0.3027 0.4849  2 F 2.74-3.01
Rb 0.3178 0.8027 0.4166  2 F 2.74-3.01
Rb 0.1973 0.5151 0.6139  2 F 2.74-3.01
F 0.5000 0.5000 0.0000  6 Rb 3.01

Summary:
* uncorrected formation energy: -28.063 eV/f.u.
* total magnetic moment: 8.5 Bohr magnetons per cell
* crystal system: cubic



2.
Computed, not measured: an optimized crystal structure of SrAg2Hg at the PBE level of DFT.

Unit cell a=4.7245 b=4.7175 c=4.5799 alpha=90.00 beta=90.00 gamma=90.00
With the nearest neighbours (Å) after each atom.
Fractional positions:
Ag 0.5000 0.5000 0.0000  4 Hg 3.29, 4 Sr 3.29, 4 Ag 3.34
Ag 0.0000 0.0000 0.0000  4 Sr 3.29, 4 Hg 3.29, 4 Ag 3.34
Hg 0.5000 0.0000 0.5000  8 Ag 3.29, 4 Sr 3.34
Sr 0.0000 0.5000 0.5000  8 Ag 3.29, 4 Hg 3.34

Summary:
* energy of formation from the pure elements: -0.1457 eV/atom
* total magnetic moment: 0.0 Bohr magnetons per cell
* crystal system: tetragonal



3.
Computed, not measured: an optimized crystal structure of Ag2BiMo at the PBE level of DFT.

Unit cell a=7.8782 b=7.8782 c=6.2212 alpha=50.72 beta=50.72 gamma=90.00
With the nearest neighbours (Å) after each atom.
Fractional positions:
Mo 0.2500 0.7500 0.5000  2 Bi 2.77, 4 Ag 2.79
Ag 0.1393 0.6250 0.2500  2 Ag 2.78, 2 Mo 2.79, 2 Bi 2.95
Mo 0.5000 0.5000 0.0000  2 Bi 2.77, 4 Ag 2.79
Bi 0.7500 0.2500 0.5000  2 Mo 2.77, 4 Ag 2.95
Ag 0.8750 0.8607 0.7500  2 Ag 2.78, 2 Mo 2.79, 2 Bi 2.95
Ag 0.6107 0.1250 0.2500  2 Ag 2.78, 2 Mo 2.79, 2 Bi 2.95
Ag 0.3750 0.3893 0.7500  2 Ag 2.78, 2 Mo 2.79, 2 Bi 2.95
Bi 0.0000 0.0000 0.0000  2 Mo 2.77, 4 Ag 2.95

Summary:
* energy of formation from the pure elements: 0.7715 eV/atom
* total magnetic moment: 2.0 Bohr magnetons per cell
* crystal system: tetragonal



4.
Computed, not measured: an optimized crystal structure of Er2MgGa4Pt3 at the PBE level of DFT.

Unit cell a=4.0090 b=4.0090 c=11.7293 alpha=90.00 beta=90.00 gamma=90.00
With the nearest neighbours (Å) after each atom.
Fractional positions:
Ga 0.5000 0.0000 0.6463  3 Pt 2.48-2.64, 2 Mg 2.64
Er 0.5000 0.0000 0.2409  4 Pt 3.06, 4 Ga 3.13
Ga 0.0000 0.5000 0.3537  3 Pt 2.48-2.64, 2 Mg 2.64
Pt 0.0000 0.5000 0.1420  5 Ga 2.48-2.61
Ga 0.0000 0.0000 0.0000  4 Pt 2.61, 4 Ga 2.83
Pt 0.5000 0.0000 0.8580  5 Ga 2.48-2.61
Ga 0.5000 0.5000 0.0000  4 Pt 2.61, 4 Ga 2.83
Mg 0.5000 0.5000 0.5000  4 Ga 2.64, 4 Pt 2.83
Pt 0.0000 0.0000 0.5000  4 Ga 2.64, 4 Mg 2.83
Er 0.0000 0.5000 0.7591  4 Pt 3.06, 4 Ga 3.13

Summary:
* energy of formation from the pure elements: -0.8473 eV/atom
* total magnetic moment: 0.0 Bohr magnetons per cell
* crystal system: tetragonal



5.
Computed, not measured: an optimized crystal structure of Mg3FeBi at the PBE level of DFT.

Unit cell a=5.4656 b=5.4656 c=5.4656 alpha=90.00 beta=90.00 gamma=90.00
With the nearest neighbours (Å) after each atom.
Fractional positions:
Mg 0.0000 0.5000 0.0000  2 Bi 2.73
Fe 0.5000 0.5000 0.5000  12 Mg 3.86
Mg 0.5000 0.0000 0.0000  2 Bi 2.73
Mg 0.0000 0.0000 0.5000  2 Bi 2.73
Bi 0.0000 0.0000 0.0000  6 Mg 2.73

Summary:
* energy of formation from the pure elements: 1.0162 eV/atom
* total magnetic moment: 3.1 Bohr magnetons per cell
* crystal system: cubic
* E above lowest polymorph: 0.578 eV per atom



6.
Computed, not measured: an optimized crystal structure of DyHoSn at the PBE level of DFT.

Unit cell a=3.8205 b=5.0996 c=5.0996 alpha=120.00 beta=90.00 gamma=90.00
With the nearest neighbours (Å) after each atom.
Fractional positions:
Ho 0.3936 0.3333 0.6667  3 Sn 3.11, 3 Dy 3.40
Sn 0.6594 0.6667 0.3333  3 Ho 3.11, 3 Dy 3.14
Dy 0.9470 0.0000 0.0000  3 Sn 3.14, 3 Ho 3.40

Summary:
* energy of formation from the pure elements: -0.3462 eV/atom
* total magnetic moment: 0.0 Bohr magnetons per cell
* crystal system: trigonal
* E above lowest polymorph: 0.234 eV per atom



7.
Computed, not measured: an optimized crystal structure of Zn4Cu8Si at the PBE level of DFT.

Unit cell a=3.6432 b=3.5946 c=13.3478 alpha=90.00 beta=90.00 gamma=90.00
With the nearest neighbours (Å) after each atom.
Fractional positions:
Cu 0.5000 0.0000 0.6171  6 Cu 2.55-2.65, 6 Zn 2.56-2.83
Zn 0.5000 0.5000 0.4534  6 Cu 2.59-2.83, 2 Zn 2.88
Cu 0.0000 0.5000 0.1930  2 Si 2.40, 6 Cu 2.56-2.66, 2 Zn 2.60
Cu 0.5000 0.0000 0.1959  2 Si 2.40, 6 Cu 2.56-2.67, 2 Zn 2.65
Cu 0.0000 0.0000 0.7589  8 Cu 2.56-2.65, 4 Zn 2.57-2.63
Zn 0.0000 0.5000 0.6208  10 Cu 2.56-2.63
Zn 0.5000 0.0000 0.9007  10 Cu 2.56-2.66, 2 Zn 2.72
Cu 0.0000 0.0000 0.4832  1 Si 2.28
Zn 0.0000 0.0000 0.0518  10 Cu 2.56-2.66, 2 Zn 2.72
Cu 0.5000 0.5000 0.0477  6 Zn 2.56-2.66, 6 Cu 2.64-2.67
Cu 0.0000 0.5000 0.9046  6 Zn 2.56-2.66, 6 Cu 2.62-2.65
Cu 0.5000 0.5000 0.7632  8 Cu 2.56-2.65, 4 Zn 2.57-2.63
Si 0.0000 0.0000 0.3127  5 Cu 2.28-2.40

Summary:
* uncorrected formation energy: 0.134 eV/f.u.
* total magnetic moment: 0.0 Bohr magnetons per cell
* crystal system: orthorhombic



8.
Computed, not measured: an optimized crystal structure of Tb6Hg2NO at the PBE level of DFT.

Unit cell a=6.8026 b=6.8025 c=9.6184 alpha=90.00 beta=90.00 gamma=90.00
With the nearest neighbours (Å) after each atom.
Fractional positions:
Tb 0.5000 0.2499 0.2521  1 N 2.38, 1 O 2.43
Tb 0.0000 0.7501 0.7521  1 N 2.38, 1 O 2.43
Tb 0.7522 0.5024 0.0000  1 N 2.38, 1 O 2.43
O 0.0000 0.7499 0.5000  6 Tb 2.43
Tb 0.2478 0.5024 0.0000  1 N 2.38, 1 O 2.43
O 0.5000 0.2501 0.0000  6 Tb 2.43
N 0.0000 0.7501 0.0000  6 Tb 2.38
Tb 0.0000 0.7501 0.2479  1 N 2.38, 1 O 2.43
Hg 0.5000 0.7500 0.2500  12 Tb 3.40
Tb 0.7477 0.0021 0.5000  1 N 2.38, 1 O 2.43
Tb 0.5000 0.2499 0.7479  1 N 2.38, 1 O 2.43
Hg 0.0000 0.2500 0.2500  12 Tb 3.40
Tb 0.2523 0.0021 0.5000  1 N 2.38, 1 O 2.43
Tb 0.7478 0.4976 0.5000  1 N 2.38, 1 O 2.43
Hg 0.5000 0.7500 0.7500  12 Tb 3.40
N 0.5000 0.2499 0.5000  6 Tb 2.38
Tb 0.7523 0.9979 0.0000  1 N 2.38, 1 O 2.43
Hg 0.0000 0.2500 0.7500  12 Tb 3.40
Tb 0.2522 0.4976 0.5000  1 N 2.38, 1 O 2.43
Tb 0.2477 0.9979 0.0000  1 N 2.38, 1 O 2.43

Summary:
* uncorrected formation energy: -11.637 eV/f.u.
* total magnetic moment: 0.0 Bohr magnetons per cell
* crystal system: cubic



no.,final energy (eV/cell)
1,-242.7
2,-8.3
3,-34.7
4,-49.4
5,-12.0
6,-14.2
7,-43.2
8,-106.6